Material: ScCdGaHg
Method: DFT, PBE-GGA
State: relaxed

The structure belongs to space group Pmmm (No. 47); the cell edges are 4.032, 4.444 and 4.601 Å and the angles 90.00°, 90.00° and 90.00°. Symmetry generates all atoms from Sc at (0.000, 0.000, 0.000), Cd at (0.000, 0.500, 0.500), Ga at (0.500, 0.500, 0.000) and Hg at (0.500, 0.000, 0.500).

The value obtained for the energy above the most stable polymorph in this dataset is 0 meV/atom. As for the calculated formation energy: -300 meV per atom.